(1)
# PBE Tl3Hg12Bi, relaxed
data_Tl3Hg12Bi
_space_group_name_H-M_alt 'P 4/m m m'
_space_group_IT_number 123
_space_group_name_Hall '-P 4 2'
_cell_length_a 5.827
_cell_length_b 5.827
_cell_length_c 13.515
_cell_angle_alpha 90.00
_cell_angle_beta 90.00
_cell_angle_gamma 90.00
loop_
_atom_site_label
_atom_site_type_symbol
_atom_site_fract_x
_atom_site_fract_y
_atom_site_fract_z
Tl1 Tl 0.000 0.000 0.000
Tl2 Tl 0.000 0.000 0.256
Hg1 Hg 0.000 0.500 0.127
Hg2 Hg 0.000 0.500 0.380
Hg3 Hg 0.500 0.500 0.000
Hg4 Hg 0.500 0.500 0.252
Hg5 Hg 0.500 0.500 0.500
Bi1 Bi 0.000 0.000 0.500
# Magnetic moment ... 0.000 μB/f.u.
# Density ... 11.69 Mg/m³
# DFT formation energy ... 0.0092 eV per atom

=====

(2)
# PBE TmMnCoGe2, relaxed
data_TmMnCoGe2
_space_group_name_H-M_alt 'I -4 m 2'
_space_group_IT_number 119
_space_group_name_Hall 'I -4 -2'
_cell_length_a 3.941
_cell_length_b 3.941
_cell_length_c 10.410
_cell_angle_alpha 90.00
_cell_angle_beta 90.00
_cell_angle_gamma 90.00
loop_
_atom_site_label
_atom_site_type_symbol
_atom_site_fract_x
_atom_site_fract_y
_atom_site_fract_z
Tm1 Tm 0.000 0.000 0.000
Mn1 Mn 0.000 0.500 0.750
Co1 Co 0.000 0.500 0.250
Ge1 Ge 0.000 0.000 0.379
# Magnetic moment ... 2.539 μB/f.u.
# Density ... 8.79 Mg/m³
# DFT formation energy ... -0.5036 eV per atom

=====

(3)
# PBE PmPr6Y5, relaxed
data_PmPr6Y5
_space_group_name_H-M_alt 'C m m m'
_space_group_IT_number 65
_space_group_name_Hall '-C 2 2'
_cell_length_a 5.188
_cell_length_b 15.594
_cell_length_c 10.182
_cell_angle_alpha 90.00
_cell_angle_beta 90.00
_cell_angle_gamma 90.00
loop_
_atom_site_label
_atom_site_type_symbol
_atom_site_fract_x
_atom_site_fract_y
_atom_site_fract_z
Pm1 Pm 0.000 0.000 0.000
Pr1 Pr 0.000 0.167 0.251
Pr2 Pr 0.000 0.500 0.251
Y1 Y 0.000 0.000 0.500
Y2 Y 0.000 0.333 0.000
Y3 Y 0.000 0.334 0.500
# Magnetic moment ... 0.000 μB/f.u.
# Density ... 5.78 Mg/m³
# DFT formation energy ... 0.0131 eV per atom

=====

(4)
# PBE V2ZnGaRe, relaxed
data_V2ZnGaRe
_space_group_name_H-M_alt 'P 4/m m m'
_space_group_IT_number 123
_space_group_name_Hall '-P 4 2'
_cell_length_a 4.457
_cell_length_b 4.457
_cell_length_c 4.548
_cell_angle_alpha 90.00
_cell_angle_beta 90.00
_cell_angle_gamma 90.00
loop_
_atom_site_label
_atom_site_type_symbol
_atom_site_fract_x
_atom_site_fract_y
_atom_site_fract_z
V1 V 0.000 0.500 0.000
Zn1 Zn 0.000 0.000 0.000
Ga1 Ga 0.500 0.500 0.500
Re1 Re 0.000 0.000 0.500
# Polymorph energy (0 for the lowest one) ... 397 meV per atom
# Magnetic moment ... 2.118 μB/f.u.
# Density ... 7.78 Mg/m³
# DFT formation energy ... 1.3790 eV per atom

=====

(5)
# PBE Re2SbAu, relaxed
data_Re2SbAu
_space_group_name_H-M_alt 'I m m m'
_space_group_IT_number 71
_space_group_name_Hall '-I 2 2'
_cell_length_a 3.156
_cell_length_b 4.644
_cell_length_c 9.541
_cell_angle_alpha 90.00
_cell_angle_beta 90.00
_cell_angle_gamma 90.00
loop_
_atom_site_label
_atom_site_type_symbol
_atom_site_fract_x
_atom_site_fract_y
_atom_site_fract_z
Re1 Re 0.000 0.000 0.223
Sb1 Sb 0.000 0.500 0.500
Au1 Au 0.000 0.500 0.000
# Raw formation energy ... 0.7615 eV/atom
# Magnetic moment ... 0.000 μB/f.u.
# Density ... 16.41 Mg/m³

=====

(6)
# PBE Tl3Cd8In, relaxed
data_Tl3Cd8In
_space_group_name_H-M_alt 'R 3 m'
_space_group_IT_number 160
_space_group_name_Hall 'R 3 -2"'
_cell_length_a 5.9911
_cell_length_b 5.9911
_cell_length_c 30.1020
_cell_angle_alpha 90.00
_cell_angle_beta 90.00
_cell_angle_gamma 120.00
loop_
_atom_site_label
_atom_site_type_symbol
_atom_site_fract_x
_atom_site_fract_y
_atom_site_fract_z
Tl1 Tl 0.0000 0.0000 0.0000
Tl2 Tl 0.0000 0.0000 0.1253
Tl3 Tl 0.0000 0.0000 0.5006
Cd1 Cd 0.0000 0.0000 0.3127
Cd2 Cd 0.0000 0.0000 0.8127
Cd3 Cd 0.0007 0.5004 0.5634
Cd4 Cd 0.1670 0.3341 0.3954
In1 In 0.0000 0.0000 0.6243
# Magnetic moment ... 0.000 μB/f.u.
# Density ... 8.66 Mg/m³
# DFT formation energy ... 0.0291 eV per atom

=====

(7)
# PBE TeSeSBr2, relaxed
data_TeSeSBr2
_space_group_name_H-M_alt 'P 4/m m m'
_space_group_IT_number 123
_space_group_name_Hall '-P 4 2'
_cell_length_a 5.062
_cell_length_b 5.062
_cell_length_c 5.109
_cell_angle_alpha 90.00
_cell_angle_beta 90.00
_cell_angle_gamma 90.00
loop_
_atom_site_label
_atom_site_type_symbol
_atom_site_fract_x
_atom_site_fract_y
_atom_site_fract_z
Te1 Te 0.000 0.000 0.000
Se1 Se 0.500 0.500 0.000
S1 S 0.500 0.500 0.500
Br1 Br 0.000 0.500 0.500
# Raw formation energy ... 0.5206 eV/atom
# Polymorph energy (0 for the lowest one) ... 0 meV per atom
# Magnetic moment ... 0.000 μB/f.u.
# Density ... 5.05 Mg/m³

=====

(8)
# PBE PrTmSc2In4, relaxed
data_PrTmSc2In4
_space_group_name_H-M_alt 'R -3 m'
_space_group_IT_number 166
_space_group_name_Hall '-R 3 2"'
_cell_length_a 5.2185
_cell_length_b 5.2185
_cell_length_c 25.6936
_cell_angle_alpha 90.00
_cell_angle_beta 90.00
_cell_angle_gamma 120.00
loop_
_atom_site_label
_atom_site_type_symbol
_atom_site_fract_x
_atom_site_fract_y
_atom_site_fract_z
Pr1 Pr 0.0000 0.0000 0.0000
Tm1 Tm 0.0000 0.0000 0.5000
Sc1 Sc 0.0000 0.0000 0.2493
In1 In 0.0000 0.0000 0.1273
In2 In 0.0000 0.0000 0.3778
# Magnetic moment ... 0.000 μB/f.u.
# Density ... 7.06 Mg/m³
# DFT formation energy ... -0.4134 eV per atom

=====

(9)
# PBE Tb3Pr3Sm5, relaxed
data_Tb3Pr3Sm5
_space_group_name_H-M_alt 'P -6 2 m'
_space_group_IT_number 189
_space_group_name_Hall 'P -6 -2'
_cell_length_a 9.7268
_cell_length_b 9.7268
_cell_length_c 5.6367
_cell_angle_alpha 90.00
_cell_angle_beta 90.00
_cell_angle_gamma 120.00
loop_
_atom_site_label
_atom_site_type_symbol
_atom_site_fract_x
_atom_site_fract_y
_atom_site_fract_z
Tb1 Tb 0.0000 0.2651 0.0000
Pr1 Pr 0.0000 0.4187 0.5000
Sm1 Sm 0.0000 0.6286 0.0000
Sm2 Sm 0.3333 0.6667 0.0000
# Polymorph energy (0 for the lowest one) ... 0 meV per atom
# Magnetic moment ... 0.001 μB/f.u.
# Density ... 5.94 Mg/m³
# DFT formation energy ... 0.7390 eV per atom

=====

(10)
# PBE Y5AsS4, relaxed
data_Y5AsS4
_space_group_name_H-M_alt 'I m m m'
_space_group_IT_number 71
_space_group_name_Hall '-I 2 2'
_cell_length_a 3.973
_cell_length_b 5.592
_cell_length_c 19.798
_cell_angle_alpha 90.00
_cell_angle_beta 90.00
_cell_angle_gamma 90.00
loop_
_atom_site_label
_atom_site_type_symbol
_atom_site_fract_x
_atom_site_fract_y
_atom_site_fract_z
Y1 Y 0.000 0.000 0.000
Y2 Y 0.000 0.000 0.200
Y3 Y 0.000 0.000 0.398
As1 As 0.000 0.500 0.000
S1 S 0.000 0.500 0.202
S2 S 0.000 0.500 0.399
# Raw formation energy ... -1.9209 eV/atom
# Magnetic moment ... 0.000 μB/f.u.
# Density ... 4.89 Mg/m³

=====

(11)
# PBE Be2GaPd, relaxed
data_Be2GaPd
_space_group_name_H-M_alt 'P 4 m m'
_space_group_IT_number 99
_cell_length_a 3.009
_cell_length_b 3.009
_cell_length_c 5.244
_cell_angle_alpha 90.00
_cell_angle_beta 90.00
_cell_angle_gamma 90.00
loop_
_space_group_symop_operation_xyz
'x,y,z'
'-y,x,z'
'-x,-y,z'
'y,-x,z'
'-x,y,z'
'y,x,z'
'x,-y,z'
'-y,-x,z'
loop_
_atom_site_label
_atom_site_type_symbol
_atom_site_fract_x
_atom_site_fract_y
_atom_site_fract_z
Be1 Be 0.000 0.000 0.000
Be2 Be 0.500 0.500 0.212
Ga1 Ga 0.000 0.000 0.465
Pd1 Pd 0.500 0.500 0.769
# Magnetic moment ... 0.000 μB/f.u.
# Density ... 6.79 Mg/m³
# DFT formation energy ... -0.2107 eV per atom

=====

(12)
# PBE NaTbDyAl, relaxed
data_NaTbDyAl
_space_group_name_H-M_alt 'F -4 3 m'
_space_group_IT_number 216
_space_group_name_Hall 'F -4 2 3'
_cell_length_a 7.487
_cell_length_b 7.487
_cell_length_c 7.487
_cell_angle_alpha 90.00
_cell_angle_beta 90.00
_cell_angle_gamma 90.00
loop_
_atom_site_label
_atom_site_type_symbol
_atom_site_fract_x
_atom_site_fract_y
_atom_site_fract_z
Na1 Na 0.000 0.000 0.000
Tb1 Tb 0.250 0.250 0.250
Dy1 Dy 0.250 0.250 0.750
Al1 Al 0.000 0.000 0.500
# Magnetic moment ... 0.000 μB/f.u.
# Density ... 5.88 Mg/m³
# DFT formation energy ... -0.0367 eV per atom

=====

(13)
# PBE MgBeOF2, relaxed
data_MgBeOF2
_space_group_name_H-M_alt 'P 4/m m m'
_space_group_IT_number 123
_space_group_name_Hall '-P 4 2'
_cell_length_a 3.292
_cell_length_b 3.292
_cell_length_c 4.005
_cell_angle_alpha 90.00
_cell_angle_beta 90.00
_cell_angle_gamma 90.00
loop_
_atom_site_label
_atom_site_type_symbol
_atom_site_fract_x
_atom_site_fract_y
_atom_site_fract_z
Mg1 Mg 0.000 0.000 0.000
Be1 Be 0.500 0.500 0.500
O1 O 0.500 0.500 0.000
F1 F 0.000 0.500 0.500
# Raw formation energy ... -2.5681 eV/atom
# Polymorph energy (0 for the lowest one) ... 0 meV per atom
# Magnetic moment ... 0.000 μB/f.u.
# Density ... 3.34 Mg/m³

=====

(14)
# PBE LaSi3Pb, relaxed
data_LaSi3Pb
_space_group_name_H-M_alt 'P m -3 m'
_space_group_IT_number 221
_space_group_name_Hall '-P 4 2 3'
_cell_length_a 5.239
_cell_length_b 5.239
_cell_length_c 5.239
_cell_angle_alpha 90.00
_cell_angle_beta 90.00
_cell_angle_gamma 90.00
loop_
_atom_site_label
_atom_site_type_symbol
_atom_site_fract_x
_atom_site_fract_y
_atom_site_fract_z
La1 La 0.000 0.000 0.000
Si1 Si 0.000 0.500 0.500
Pb1 Pb 0.500 0.500 0.500
# Raw formation energy ... 0.8334 eV/atom
# Polymorph energy (0 for the lowest one) ... 0 meV per atom
# Magnetic moment ... 0.000 μB/f.u.
# Density ... 4.97 Mg/m³

=====

(15)
# PBE TlWCl2, relaxed
data_TlWCl2
_space_group_name_H-M_alt 'I m m m'
_space_group_IT_number 71
_space_group_name_Hall '-I 2 2'
_cell_length_a 3.065
_cell_length_b 5.330
_cell_length_c 12.838
_cell_angle_alpha 90.00
_cell_angle_beta 90.00
_cell_angle_gamma 90.00
loop_
_atom_site_label
_atom_site_type_symbol
_atom_site_fract_x
_atom_site_fract_y
_atom_site_fract_z
Tl1 Tl 0.000 0.000 0.000
W1 W 0.000 0.000 0.500
Cl1 Cl 0.000 0.500 0.154
# Raw formation energy ... 0.0341 eV/atom
# Polymorph energy (0 for the lowest one) ... 41 meV per atom
# Magnetic moment ... 1.423 μB/f.u.
# Density ... 7.27 Mg/m³

=====

(16)
# PBE AcErZn4, relaxed
data_AcErZn4
_space_group_name_H-M_alt 'F -4 3 m'
_space_group_IT_number 216
_space_group_name_Hall 'F -4 2 3'
_cell_length_a 7.974
_cell_length_b 7.974
_cell_length_c 7.974
_cell_angle_alpha 90.00
_cell_angle_beta 90.00
_cell_angle_gamma 90.00
loop_
_atom_site_label
_atom_site_type_symbol
_atom_site_fract_x
_atom_site_fract_y
_atom_site_fract_z
Ac1 Ac 0.000 0.000 0.000
Er1 Er 0.250 0.250 0.250
Zn1 Zn 0.123 0.123 0.623
# Magnetic moment ... 0.000 μB/f.u.
# Density ... 8.59 Mg/m³
# DFT formation energy ... -0.2582 eV per atom

=====

(17)
# PBE Ca3LaN, relaxed
data_Ca3LaN
_space_group_name_H-M_alt 'P m -3 m'
_space_group_IT_number 221
_space_group_name_Hall '-P 4 2 3'
_cell_length_a 5.185
_cell_length_b 5.185
_cell_length_c 5.185
_cell_angle_alpha 90.00
_cell_angle_beta 90.00
_cell_angle_gamma 90.00
loop_
_atom_site_label
_atom_site_type_symbol
_atom_site_fract_x
_atom_site_fract_y
_atom_site_fract_z
Ca1 Ca 0.000 0.000 0.500
La1 La 0.500 0.500 0.500
N1 N 0.000 0.000 0.000
# Raw formation energy ... -0.1070 eV/atom
# Polymorph energy (0 for the lowest one) ... 0 meV per atom
# Magnetic moment ... 0.000 μB/f.u.
# Density ... 3.25 Mg/m³

=====

(18)
# PBE Cu, relaxed
data_Cu
_space_group_name_H-M_alt 'I 41/a c d'
_space_group_IT_number 142
_cell_length_a 4.771
_cell_length_b 4.771
_cell_length_c 9.217
_cell_angle_alpha 90.00
_cell_angle_beta 90.00
_cell_angle_gamma 90.00
loop_
_space_group_symop_operation_xyz
'x,y,z'
'-x,-y,-z'
'-y+1/4,x+3/4,z+1/4'
'y+1/4,-x+3/4,-z+1/4'
'-x+1/2,-y,z+1/2'
'x+1/2,y,-z+1/2'
'y+1/4,-x+1/4,z+3/4'
'-y+1/4,x+1/4,-z+3/4'
'x,-y,-z+1/2'
'-x,y,z+1/2'
'-y+1/4,-x+1/4,-z+1/4'
'y+1/4,x+1/4,z+1/4'
'-x+1/2,y,-z'
'x+1/2,-y,z'
'y+1/4,x+3/4,-z+3/4'
'-y+1/4,-x+3/4,z+3/4'
'x+1/2,y+1/2,z+1/2'
'-x+1/2,-y+1/2,-z+1/2'
'-y+3/4,x+1/4,z+3/4'
'y+3/4,-x+1/4,-z+3/4'
'-x,-y+1/2,z'
'x,y+1/2,-z'
'y+3/4,-x+3/4,z+1/4'
'-y+3/4,x+3/4,-z+1/4'
'x+1/2,-y+1/2,-z'
'-x+1/2,y+1/2,z'
'-y+3/4,-x+3/4,-z+3/4'
'y+3/4,x+3/4,z+3/4'
'-x,y+1/2,-z+1/2'
'x,-y+1/2,z+1/2'
'y+3/4,x+1/4,-z+1/4'
'-y+3/4,-x+1/4,z+1/4'
loop_
_atom_site_label
_atom_site_type_symbol
_atom_site_fract_x
_atom_site_fract_y
_atom_site_fract_z
Cu1 Cu 0.179 0.071 0.125
# Polymorph energy (0 for the lowest one) ... 293 meV per atom
# Magnetic moment ... 0.000 μB/f.u.
# Density ... 8.05 Mg/m³
# DFT formation energy ... 0.2935 eV per atom

=====

(19)
# PBE LaPu2Sc, relaxed
data_LaPu2Sc
_space_group_name_H-M_alt 'R 3 m'
_space_group_IT_number 160
_space_group_name_Hall 'R 3 -2"'
_cell_length_a 3.4091
_cell_length_b 3.4091
_cell_length_c 33.9710
_cell_angle_alpha 90.00
_cell_angle_beta 90.00
_cell_angle_gamma 120.00
loop_
_atom_site_label
_atom_site_type_symbol
_atom_site_fract_x
_atom_site_fract_y
_atom_site_fract_z
La1 La 0.0000 0.0000 0.0000
Pu1 Pu 0.0000 0.0000 0.5778
Pu2 Pu 0.0000 0.0000 0.7545
Sc1 Sc 0.0000 0.0000 0.1662
# Polymorph energy (0 for the lowest one) ... 14 meV per atom
# Magnetic moment ... 0.111 μB/f.u.
# Density ... 9.79 Mg/m³
# DFT formation energy ... 0.2154 eV per atom

=====

(20)
# PBE MgBr2Cl, relaxed
data_MgBr2Cl
_space_group_name_H-M_alt 'C m m m'
_space_group_IT_number 65
_space_group_name_Hall '-C 2 2'
_cell_length_a 3.681
_cell_length_b 9.322
_cell_length_c 9.331
_cell_angle_alpha 90.00
_cell_angle_beta 90.00
_cell_angle_gamma 90.00
loop_
_atom_site_label
_atom_site_type_symbol
_atom_site_fract_x
_atom_site_fract_y
_atom_site_fract_z
Mg1 Mg 0.000 0.000 0.000
Br1 Br 0.000 0.500 0.190
Cl1 Cl 0.000 0.000 0.500
# Raw formation energy ... -0.6437 eV/atom
# Polymorph energy (0 for the lowest one) ... 346 meV per atom
# Magnetic moment ... 1.015 μB/f.u.
# Density ... 2.28 Mg/m³